Record 1
87
Lattice="-11.326 -2.943 -9.670 13.290 -2.889 -6.743 -1.444 -8.773 12.304" Properties=species:S:1:pos:R:3 comment="Cs2Hg27 (PBE, optimized geometry)" space_group="Im-3 (204)" ef_ev_per_atom=-0.097 dos_at_fermi_per_ev_atom=0.234 density_g_cm3=10.510 final_energy_ev_per_cell=-37.97 pbc="T T T"
Hg 3.490 -9.756 -0.267
Hg 0.180 -5.045 -1.419
Hg 2.655 -6.739 -0.630
Hg 9.459 -5.616 -4.302
Hg 0.242 -8.528 9.226
Hg -3.426 -3.930 -0.944
Hg -5.950 -10.559 0.396
Hg -7.414 -1.926 -6.330
Hg -0.292 -6.471 2.264
Hg -8.570 -4.582 -3.603
Hg 3.190 -10.350 6.928
Hg -3.912 -1.017 -3.340
Hg -0.048 -4.539 -9.416
Hg -1.529 -10.083 -5.961
Hg 3.838 -4.851 -2.972
Hg 1.446 -11.372 -5.147
Hg 7.161 -7.417 1.726
Hg 2.619 -7.170 7.012
Hg -4.536 -9.259 -4.847
Hg -2.669 -4.255 -11.037
Hg 2.556 -7.637 -3.698
Hg 10.033 -10.289 2.876
Hg -2.098 -7.435 -11.120
Hg -2.969 -4.849 -3.842
Hg 6.475 -2.938 -7.541
Hg 4.654 -8.687 -5.717
Hg 0.447 -8.844 0.327
Hg 0.812 -8.133 -6.373
Hg -1.708 -11.998 -3.321
Hg 1.780 -2.860 -4.090
Hg -2.035 -6.968 -0.411
Hg -6.643 -5.048 -8.362
Hg 6.287 -10.314 1.075
Hg -0.397 -3.503 -6.500
Hg -0.945 -5.743 8.054
Hg 7.025 -5.693 -9.140
Hg 2.229 -2.606 -0.788
Hg 1.537 -12.370 -1.588
Hg 0.676 -7.548 -9.467
Hg 2.628 -5.377 -11.176
Hg 6.922 -6.606 -6.185
Hg -2.107 -9.227 7.067
Hg 0.074 -5.760 -4.436
Hg -0.499 -3.030 4.250
Hg 9.859 -3.654 -6.882
Hg 2.049 -4.522 1.852
Hg 3.111 -9.284 -8.333
Hg 6.470 -4.046 -4.505
Hg 0.918 -11.101 2.392
Hg -2.135 -7.866 -3.479
Hg 0.341 -9.560 -2.690
Hg -8.939 -8.988 0.193
Hg -9.513 -4.315 -6.985
Hg -6.504 -8.912 5.031
Hg -6.640 -7.188 -5.835
Hg 3.946 -10.674 -3.165
Hg 5.057 -5.345 0.738
Hg 4.591 -0.998 -2.329
Hg 0.000 0.000 0.000
Hg -4.133 -5.918 1.608
Hg -0.156 -7.057 5.358
Hg -5.741 -11.174 -2.735
Hg 6.261 -3.430 -1.374
Hg 0.569 -10.066 5.307
Hg 9.091 -10.022 -0.506
Hg -1.016 -2.234 -2.521
Hg -3.271 -2.467 -6.006
Hg -5.766 -4.291 -5.184
Hg 7.164 -9.556 4.253
Hg 3.792 -12.138 1.897
Hg 0.278 -6.076 -13.335
Hg -6.401 -7.999 2.076
Hg -1.259 -11.745 -0.019
Hg -0.925 -3.232 1.038
Hg -5.954 -11.666 3.432
Hg -9.338 -10.951 2.773
Hg 8.700 -1.891 -4.414
Hg -9.372 -7.600 -4.440
Hg 9.893 -7.005 0.331
Hg -3.317 -9.754 -1.137
Hg -2.590 -5.321 4.224
Cs 3.273 -5.171 -7.131
Cs -6.005 -6.986 -1.857
Cs 3.454 -8.096 3.290
Cs -2.933 -6.508 -7.399
Cs 6.526 -7.619 -2.252
Cs -2.752 -9.434 3.022



Record 2
12
Lattice="10.761 0.000 0.000 0.000 10.761 0.000 0.000 0.000 10.761" Properties=species:S:1:pos:R:3 comment="CsHg (PBE, optimized geometry)" space_group="Pm-3n (223)" ef_ev_per_atom=0.058 dos_at_fermi_per_ev_atom=2.207 density_g_cm3=2.667 final_energy_ev_per_cell=-6.24 pbc="T T T"
Cs 2.690 0.000 5.380
Cs 0.000 5.380 8.071
Cs 0.000 5.380 2.690
Cs 5.380 8.071 0.000
Cs 5.380 2.690 0.000
Cs 8.071 0.000 5.380
Hg 2.690 5.380 0.000
Hg 5.380 0.000 8.071
Hg 8.071 5.380 0.000
Hg 5.380 0.000 2.690
Hg 0.000 8.071 5.380
Hg 0.000 2.690 5.380